1.
{"formula": "Ac6Ge3P2Cl", "functional": "PBE", "state": "optimized geometry", "vol_a3_per_cell": 394.30, "raw_formation_energy_ev_per_fu": -13.28, "cell": [[-0.919, 1.628, -4.096], [-5.924, -6.791, -1.370], [-5.079, 6.285, 6.113]], "species": ["Ac", "Ac", "Ac", "Ac", "Ac", "Ac", "Ge", "Ge", "Ge", "P", "P", "Cl"], "frac_coords": [[0.329, 0.907, 0.659], [0.668, 0.578, 0.337], [0.671, 0.093, 0.341], [0.002, 0.266, 0.005], [0.998, 0.734, 0.995], [0.332, 0.422, 0.663], [0.500, 0.500, 0.000], [0.837, 0.164, 0.674], [0.163, 0.836, 0.326], [0.835, 0.669, 0.669], [0.165, 0.331, 0.331], [0.500, 0.000, 0.000]]}

2.
{"formula": "AgMo4Cl", "functional": "PBE", "state": "optimized geometry", "vol_a3_per_cell": 106.21, "raw_formation_energy_ev_per_fu": 5.58, "cell": [[-3.320, -4.050, 0.912], [-3.166, 0.068, 4.269], [-5.240, 0.675, -0.587]], "species": ["Ag", "Mo", "Mo", "Mo", "Mo", "Cl"], "frac_coords": [[0.750, 0.750, 0.750], [0.883, 0.372, 0.372], [0.372, 0.372, 0.883], [0.372, 0.883, 0.372], [0.372, 0.372, 0.372], [0.000, 0.000, 0.000]]}

3.
{"formula": "Ac2Cd2In3", "functional": "PBE", "state": "optimized geometry", "vol_a3_per_cell": 206.87, "de_polymorph_mev_per_atom": 40.1, "formation_energy_ev_per_atom": -0.37, "cell": [[-0.725, -4.900, -0.264], [4.720, 1.594, 4.070], [-6.691, 0.806, 3.408]], "species": ["Ac", "Ac", "Cd", "Cd", "In", "In", "In"], "frac_coords": [[0.848, 0.697, 0.227], [0.152, 0.303, 0.773], [0.849, 0.698, 0.752], [0.151, 0.302, 0.248], [0.500, 0.000, 0.000], [0.599, 0.197, 0.428], [0.401, 0.803, 0.572]]}

Number 1: total energy -5.371 eV/atom, D(E_F) 0.77 states/eV/atom, spin magnetization 0.00 μB/cell. Number 2: total energy -7.074 eV/atom, D(E_F) 0.73 states/eV/atom, spin magnetization 0.00 μB/cell. Number 3: total energy -2.974 eV/atom, D(E_F) 0.50 states/eV/atom, spin magnetization 0.00 μB/cell.